VASP calculation (PBE) on a relaxed PrSmEuTm crystal.

Output
- total DFT energy (no corrections) (Ry/atom) = -0.4357
- space group = No. 216
- ΔH_f (0 K) (eV per atom) = 0.13

```
PrSmEuTm
1.0
0.0000 4.1181 4.1181
4.1181 0.0000 4.1181
4.1181 4.1181 0.0000
Pr Sm Eu Tm
1 1 1 1
Direct
0.0000 0.0000 0.0000 Pr
0.5000 0.5000 0.5000 Sm
0.2500 0.2500 0.2500 Eu
0.7500 0.7500 0.7500 Tm
```


VASP calculation (PBE) on a relaxed Dy3Er6Pb crystal.

Output
- total DFT energy (no corrections) (Ry/atom) = -0.3303
- space group = No. 36
- ΔH_f (0 K) (eV per atom) = 0.00

```
Dy3Er6Pb
1.0
5.4046 -9.3462 0.0000
5.4046 9.3462 0.0000
0.0000 0.0000 6.1181
Dy Er Pb
6 12 2
Direct
0.1090 0.8910 0.5000 Dy
0.2287 0.4477 0.1321 Dy
0.4477 0.2287 0.6321 Dy
0.5523 0.7713 0.1321 Dy
0.7713 0.5523 0.6321 Dy
0.8910 0.1090 0.0000 Dy
0.0423 0.4558 0.7067 Er
0.1145 0.2072 0.5295 Er
0.2072 0.1145 0.0295 Er
0.2227 0.7773 0.9223 Er
0.4387 0.5613 0.6457 Er
0.4558 0.0423 0.2067 Er
0.5442 0.9577 0.7067 Er
0.5613 0.4387 0.1457 Er
0.7773 0.2227 0.4223 Er
0.7928 0.8855 0.5295 Er
0.8855 0.7928 0.0295 Er
0.9577 0.5442 0.2067 Er
0.2791 0.7209 0.4212 Pb
0.7209 0.2791 0.9212 Pb
```